! NdTmIn4 | Alexandria | PBE | optimized geometry; values from VASP
&SYSTEM
  ibrav = 0, nat = 6, ntyp = 3
/
ATOMIC_SPECIES
Nd 144.24 Nd.upf
Tm 168.93 Tm.upf
In 114.82 In.upf
CELL_PARAMETERS angstrom
0.000 4.264 4.264
4.264 0.000 4.264
4.264 4.264 0.000
ATOMIC_POSITIONS crystal
Nd 0.000 0.000 0.000
Tm 0.250 0.250 0.250
In 0.125 0.625 0.625
In 0.625 0.125 0.625
In 0.625 0.625 0.125
In 0.625 0.625 0.625
! ΔH_f (0 K) ... -0.338 eV per atom
! Space-group type ... F-43m (216)
! Size of the total moment ... 0.00 μB per cell
! Offset from the most stable computed form ... 0.00 eV per formula unit